Entry 1:
An optimized crystal structure of BaDyAl2, computed with PBE.

Results
SG   P4/mmm (123)
Energy   -0.273 Ry per atom
Volume   28.9 A^3/atom

Cell lengths 3.849, 3.849, 7.801 Å; angles 90.00, 90.00, 90.00 degrees
Fractional positions:
1 Ba 0.000 0.000 0.000
2 Dy 0.000 0.000 0.500
3 Al 0.500 0.500 0.307
4 Al 0.500 0.500 0.693



Entry 2:
An optimized crystal structure of BaDy2Al9, computed with PBE.

Results
SG   R-3m (166)
Energy   -0.298 Ry per atom
Volume   20.9 A^3/atom

Cell lengths 9.485, 9.485, 9.485 Å; angles 34.97, 34.97, 34.97 degrees
Fractional positions:
1 Ba 0.000 0.000 0.000
2 Dy 0.142 0.142 0.142
3 Dy 0.858 0.858 0.858
4 Al 0.078 0.590 0.590
5 Al 0.336 0.336 0.336
6 Al 0.410 0.410 0.922
7 Al 0.410 0.922 0.410
8 Al 0.500 0.500 0.500
9 Al 0.590 0.078 0.590
10 Al 0.590 0.590 0.078
11 Al 0.664 0.664 0.664
12 Al 0.922 0.410 0.410



Entry 3:
An optimized crystal structure of Ba2DyAl3Ga12, computed with PBE.

Results
SG   R-3m (166)
Energy   -0.238 Ry per atom
Volume   23.4 A^3/atom

Cell lengths 11.087, 11.087, 11.087 Å; angles 35.97, 35.97, 35.97 degrees
Fractional positions:
1 Ba 0.145 0.145 0.145
2 Ba 0.855 0.855 0.855
3 Dy 0.500 0.500 0.500
4 Al 0.000 0.500 0.500
5 Al 0.500 0.000 0.500
6 Al 0.500 0.500 0.000
7 Ga 0.088 0.088 0.686
8 Ga 0.088 0.686 0.088
9 Ga 0.139 0.567 0.567
10 Ga 0.314 0.912 0.912
11 Ga 0.433 0.433 0.861
12 Ga 0.433 0.861 0.433
13 Ga 0.567 0.139 0.567
14 Ga 0.567 0.567 0.139
15 Ga 0.686 0.088 0.088
16 Ga 0.861 0.433 0.433
17 Ga 0.912 0.314 0.912
18 Ga 0.912 0.912 0.314



Entry 4:
An optimized crystal structure of Ba6Dy2Al4O15, computed with PBE.

Results
Excess energy over the best structure of this formula in the dataset   0.034 eV per atom
SG   Amm2 (38)
Volume   16.9 A^3/atom
ΔE_f (raw)   -80.8 eV per formula unit

Cell lengths 14.846, 5.942, 5.942 Å; angles 60.31, 90.00, 90.00 degrees
Fractional positions:
1 Ba 0.000 0.000 0.000
2 Ba 0.153 0.687 0.687
3 Ba 0.326 0.370 0.370
4 Ba 0.500 0.055 0.055
5 Ba 0.674 0.370 0.370
6 Ba 0.847 0.687 0.687
7 Dy 0.250 0.031 0.031
8 Dy 0.750 0.031 0.031
9 Al 0.113 0.354 0.354
10 Al 0.387 0.703 0.703
11 Al 0.613 0.703 0.703
12 Al 0.887 0.354 0.354
13 O 0.000 0.407 0.407
14 O 0.000 0.756 0.756
15 O 0.144 0.187 0.187
16 O 0.173 0.192 0.658
17 O 0.173 0.658 0.192
18 O 0.338 0.391 0.884
19 O 0.338 0.884 0.391
20 O 0.371 0.875 0.875
21 O 0.500 0.647 0.647
22 O 0.629 0.875 0.875
23 O 0.662 0.391 0.884
24 O 0.662 0.884 0.391
25 O 0.827 0.192 0.658
26 O 0.827 0.658 0.192
27 O 0.856 0.187 0.187



Entry 5:
An optimized crystal structure of Ba6Dy2Al4O15, computed with PBE.

Results
Excess energy over the best structure of this formula in the dataset   0.000 eV per atom
SG   P2/c (13)
Volume   16.2 A^3/atom
ΔE_f (raw)   -81.7 eV per formula unit

Cell lengths 7.930, 5.966, 18.547 Å; angles 90.00, 91.60, 90.00 degrees
Fractional positions:
1 Ba 0.000 0.177 0.250
2 Ba 0.000 0.823 0.750
3 Ba 0.001 0.255 0.917
4 Ba 0.001 0.745 0.417
5 Ba 0.470 0.248 0.910
6 Ba 0.470 0.752 0.410
7 Ba 0.500 0.230 0.250
8 Ba 0.500 0.770 0.750
9 Ba 0.530 0.248 0.590
10 Ba 0.530 0.752 0.090
11 Ba 0.999 0.255 0.583
12 Ba 0.999 0.745 0.083
13 Dy 0.252 0.249 0.089
14 Dy 0.252 0.751 0.589
15 Dy 0.748 0.249 0.411
16 Dy 0.748 0.751 0.911
17 Al 0.252 0.247 0.444
18 Al 0.252 0.753 0.944
19 Al 0.279 0.267 0.732
20 Al 0.279 0.733 0.232
21 Al 0.721 0.267 0.768
22 Al 0.721 0.733 0.268
23 Al 0.748 0.247 0.056
24 Al 0.748 0.753 0.556
25 O 0.039 0.254 0.408
26 O 0.039 0.746 0.908
27 O 0.191 0.180 0.812
28 O 0.191 0.820 0.312
29 O 0.230 0.475 0.188
30 O 0.230 0.525 0.688
31 O 0.256 0.046 0.666
32 O 0.256 0.954 0.166
33 O 0.264 0.003 0.998
34 O 0.264 0.483 0.505
35 O 0.264 0.517 0.005
36 O 0.264 0.997 0.498
37 O 0.443 0.262 0.394
38 O 0.443 0.738 0.894
39 O 0.500 0.290 0.750
40 O 0.500 0.710 0.250
41 O 0.557 0.262 0.106
42 O 0.557 0.738 0.606
43 O 0.736 0.003 0.502
44 O 0.736 0.483 0.995
45 O 0.736 0.517 0.495
46 O 0.736 0.997 0.002
47 O 0.744 0.046 0.834
48 O 0.744 0.954 0.334
49 O 0.770 0.475 0.312
50 O 0.770 0.525 0.812
51 O 0.809 0.180 0.688
52 O 0.809 0.820 0.188
53 O 0.961 0.254 0.092
54 O 0.961 0.746 0.592



Entry 6:
An optimized crystal structure of BaDyAlO4, computed with PBE.

Results
SG   P2_1/m (11)
Volume   16.1 A^3/atom
ΔE_f (raw)   -21.6 eV per formula unit

Cell lengths 5.666, 5.797, 7.209 Å; angles 90.00, 108.18, 90.00 degrees
Fractional positions:
1 Ba 0.208 0.250 0.430
2 Ba 0.792 0.750 0.570
3 Dy 0.302 0.250 0.962
4 Dy 0.698 0.750 0.038
5 Al 0.244 0.750 0.168
6 Al 0.756 0.250 0.832
7 O 0.033 0.750 0.931
8 O 0.054 0.750 0.322
9 O 0.462 0.518 0.197
10 O 0.462 0.982 0.197
11 O 0.538 0.018 0.803
12 O 0.538 0.482 0.803
13 O 0.946 0.250 0.678
14 O 0.967 0.250 0.069



Entry 7:
An optimized crystal structure of Ba3DyAl2O8, computed with PBE.

Results
SG   P-3m1 (164)
Volume   16.6 A^3/atom
ΔE_f (raw)   -40.0 eV per formula unit

Cell lengths 5.946, 5.946, 7.587 Å; angles 90.00, 90.00, 120.00 degrees
Fractional positions:
1 Ba 0.000 0.000 0.000
2 Ba 0.333 0.667 0.666
3 Ba 0.667 0.333 0.334
4 Dy 0.000 0.000 0.500
5 Al 0.333 0.667 0.229
6 Al 0.667 0.333 0.771
7 O 0.173 0.347 0.318
8 O 0.173 0.827 0.318
9 O 0.333 0.667 0.998
10 O 0.347 0.173 0.682
11 O 0.653 0.827 0.318
12 O 0.667 0.333 0.002
13 O 0.827 0.173 0.682
14 O 0.827 0.653 0.682



Entry 8:
An optimized crystal structure of Ba2DyAlS5, computed with PBE.

Results
SG   Cmc2_1 (36)
Volume   26.9 A^3/atom
ΔE_f (raw)   -16.8 eV per formula unit

Cell lengths 9.339, 9.339, 13.108 Å; angles 90.00, 90.00, 154.91 degrees
Fractional positions:
1 Ba 0.119 0.881 0.500
2 Ba 0.128 0.872 0.143
3 Ba 0.872 0.128 0.643
4 Ba 0.881 0.119 0.000
5 Dy 0.204 0.796 0.844
6 Dy 0.796 0.204 0.344
7 Al 0.441 0.559 0.242
8 Al 0.559 0.441 0.742
9 S 0.044 0.956 0.834
10 S 0.297 0.703 0.481
11 S 0.319 0.681 0.197
12 S 0.348 0.652 0.824
13 S 0.500 0.500 0.095
14 S 0.500 0.500 0.595
15 S 0.652 0.348 0.324
16 S 0.681 0.319 0.697
17 S 0.703 0.297 0.981
18 S 0.956 0.044 0.334



Entry 9:
An optimized crystal structure of BaDyAlSe4, computed with PBE.

Results
SG   P2_1/m (11)
Volume   28.7 A^3/atom
ΔE_f (raw)   -11.1 eV per formula unit

Cell lengths 6.821, 7.046, 8.771 Å; angles 90.00, 107.46, 90.00 degrees
Fractional positions:
1 Ba 0.247 0.250 0.060
2 Ba 0.753 0.750 0.940
3 Dy 0.225 0.250 0.553
4 Dy 0.775 0.750 0.447
5 Al 0.233 0.750 0.327
6 Al 0.767 0.250 0.673
7 Se 0.009 0.507 0.718
8 Se 0.009 0.993 0.718
9 Se 0.429 0.750 0.145
10 Se 0.451 0.750 0.591
11 Se 0.549 0.250 0.409
12 Se 0.571 0.250 0.855
13 Se 0.991 0.007 0.282
14 Se 0.991 0.493 0.282



Entry 10:
An optimized crystal structure of BaDyAlTe4, computed with PBE.

Results
SG   P2_1/m (11)
Volume   35.3 A^3/atom
ΔE_f (raw)   -7.9 eV per formula unit

Cell lengths 7.296, 7.664, 9.268 Å; angles 90.00, 107.33, 90.00 degrees
Fractional positions:
1 Ba 0.225 0.250 0.052
2 Ba 0.775 0.750 0.948
3 Dy 0.232 0.250 0.557
4 Dy 0.768 0.750 0.443
5 Al 0.232 0.750 0.328
6 Al 0.768 0.250 0.672
7 Te 0.014 0.510 0.718
8 Te 0.014 0.990 0.718
9 Te 0.427 0.750 0.134
10 Te 0.455 0.750 0.601
11 Te 0.545 0.250 0.399
12 Te 0.573 0.250 0.866
13 Te 0.986 0.010 0.282
14 Te 0.986 0.490 0.282



Entry 11:
An optimized crystal structure of BaDy2Al3Zn6, computed with PBE.

Results
SG   P4/mmm (123)
Energy   -0.200 Ry per atom
Volume   21.2 A^3/atom

Cell lengths 4.233, 4.233, 14.197 Å; angles 90.00, 90.00, 90.00 degrees
Fractional positions:
1 Ba 0.000 0.000 0.000
2 Dy 0.000 0.000 0.379
3 Dy 0.000 0.000 0.621
4 Al 0.500 0.500 0.107
5 Al 0.500 0.500 0.500
6 Al 0.500 0.500 0.893
7 Zn 0.000 0.500 0.212
8 Zn 0.000 0.500 0.788
9 Zn 0.500 0.000 0.212
10 Zn 0.500 0.000 0.788
11 Zn 0.500 0.500 0.318
12 Zn 0.500 0.500 0.682



Entry 12:
An optimized crystal structure of BaEr2Al, computed with PBE.

Results
Excess energy over the best structure of this formula in the dataset   0.000 eV per atom
SG   P4/mmm (123)
Volume   32.5 A^3/atom

Cell lengths 3.621, 3.621, 9.903 Å; angles 90.00, 90.00, 90.00 degrees
Fractional positions:
1 Ba 0.000 0.000 0.000
2 Er 0.500 0.500 0.321
3 Er 0.500 0.500 0.679
4 Al 0.000 0.000 0.500



What did the ninth record say?
An optimized crystal structure of BaDyAlSe4, computed with PBE.

Results
SG   P2_1/m (11)
Volume   28.7 A^3/atom
ΔE_f (raw)   -11.1 eV per formula unit

Cell lengths 6.821, 7.046, 8.771 Å; angles 90.00, 107.46, 90.00 degrees
Fractional positions:
1 Ba 0.247 0.250 0.060
2 Ba 0.753 0.750 0.940
3 Dy 0.225 0.250 0.553
4 Dy 0.775 0.750 0.447
5 Al 0.233 0.750 0.327
6 Al 0.767 0.250 0.673
7 Se 0.009 0.507 0.718
8 Se 0.009 0.993 0.718
9 Se 0.429 0.750 0.145
10 Se 0.451 0.750 0.591
11 Se 0.549 0.250 0.409
12 Se 0.571 0.250 0.855
13 Se 0.991 0.007 0.282
14 Se 0.991 0.493 0.282



Q: Which of these has the lowest volume?
A: BaDyAlO4